No. 1
GGA-PBE LiInS, optimized geometry; theoretical density = 3.89 Mg/m³; raw formation energy = -0.74 eV/atom; distance to the lowest polymorph of the same formula = 39 meV/atom
1.0
-8.643 0.208 -3.322
-0.653 -4.068 1.444
-1.703 2.343 5.830
Li In S
4 4 4
direct
0.500 0.000 0.007 Li
0.500 0.500 0.507 Li
0.681 0.000 0.539 Li
0.681 0.500 0.039 Li
0.951 0.000 0.256 In
0.951 0.500 0.756 In
0.229 0.000 0.665 In
0.229 0.500 0.165 In
0.422 0.000 0.365 S
0.422 0.500 0.865 S
0.763 0.000 0.910 S
0.763 0.500 0.410 S

No. 2
GGA-PBE LiInS, optimized geometry; theoretical density = 3.48 Mg/m³; raw formation energy = -0.72 eV/atom; distance to the lowest polymorph of the same formula = 62 meV/atom
1.0
-1.615 -3.418 -1.914
1.442 -3.860 0.986
-6.585 -3.135 6.466
Li S In
2 2 2
direct
0.371 0.371 0.887 Li
0.629 0.629 0.113 Li
0.280 0.280 0.160 S
0.720 0.720 0.840 S
0.195 0.195 0.414 In
0.805 0.805 0.586 In

No. 3
GGA-PBE LiInS, optimized geometry; theoretical density = 3.70 Mg/m³; raw formation energy = -0.78 eV/atom; distance to the lowest polymorph of the same formula = 1 meV/atom
1.0
-0.512 2.147 -3.176
-4.581 -11.490 -7.029
-4.699 0.997 1.432
Li In S
4 4 4
direct
0.000 0.784 0.161 Li
0.000 0.216 0.661 Li
0.500 0.284 0.161 Li
0.500 0.716 0.661 Li
0.000 0.545 0.106 In
0.000 0.455 0.606 In
0.500 0.045 0.106 In
0.500 0.955 0.606 In
0.000 0.830 0.660 S
0.000 0.170 0.160 S
0.500 0.330 0.660 S
0.500 0.670 0.160 S

No. 4
GGA-PBE Li3InS, optimized geometry; theoretical density = 2.17 Mg/m³; raw formation energy = 0.30 eV/atom; distance to the lowest polymorph of the same formula = 910 meV/atom
1.0
-4.549 -1.688 1.371
-1.163 -0.797 -4.841
1.837 -4.684 0.330
S Li In
1 3 1
direct
0.500 0.500 0.500 S
0.000 0.500 0.000 Li
0.000 0.000 0.500 Li
0.500 0.000 0.000 Li
0.000 0.000 0.000 In

No. 5
GGA-PBE Li3InS, optimized geometry; theoretical density = 2.75 Mg/m³; raw formation energy = -0.61 eV/atom; distance to the lowest polymorph of the same formula = 0 meV/atom
1.0
4.662 0.000 0.000
0.000 4.662 0.000
0.000 0.000 4.662
S Li In
1 3 1
direct
0.000 0.000 0.000 S
0.000 0.500 0.000 Li
0.000 0.000 0.500 Li
0.500 0.000 0.000 Li
0.500 0.500 0.500 In

No. 6
GGA-PBE LiInS, optimized geometry; theoretical density = 3.81 Mg/m³; raw formation energy = -0.74 eV/atom; distance to the lowest polymorph of the same formula = 39 meV/atom
1.0
3.985 0.000 0.000
-1.993 3.451 0.000
0.000 0.000 9.749
Li In S
2 2 2
direct
0.667 0.333 0.514 Li
0.000 0.000 0.679 Li
0.333 0.667 0.946 In
0.667 0.333 0.228 In
0.000 0.000 0.417 S
0.667 0.333 0.764 S

Going through the records in order, we get DOS(E_F) values of 0.032, 0.056, 0.031, 0.826, 0.527, 0.002 states/eV/atom.